Entry 1:
## In3FeO (PBE with a Hubbard U)

Data for an optimized crystal structure of In3FeO.

The space group is Pm-3m (No. 221) and the conventional cell measures 5.070, 5.070 and 5.070 Å, with angles of 90.00, 90.00 and 90.00 degrees. Symmetry generates all atoms from In at (0.000, 0.000, 0.500), Fe at (0.000, 0.000, 0.000) and O at (0.500, 0.500, 0.500).

The calculation puts the total energy at -3.1348 eV per atom. The calculation puts the magnetization at 3.133 μB/f.u.

Entry 2:
## InFeO3 (PBE with a Hubbard U)

Data for an optimized crystal structure of InFeO3.

The space group is Cmc2_1 (No. 36) and the conventional cell measures 3.496, 13.927 and 5.136 Å, with angles of 90.00, 90.00 and 90.00 degrees. Symmetry generates all atoms from In at (0.000, 0.168, 0.000), Fe at (0.000, 0.429, 0.946), O at (0.000, 0.059, 0.299), O at (0.000, 0.293, 0.766) and O at (0.000, 0.405, 0.313).

The calculation puts the total energy at -6.0555 eV per atom. The calculation puts the magnetization at 4.983 μB/f.u.

Entry 3:
## InFeO3 (PBE with a Hubbard U)

Data for an optimized crystal structure of InFeO3.

The space group is P-6c2 (No. 188) and the conventional cell measures 5.4846, 5.4846 and 5.5726 Å, with angles of 90.00, 90.00 and 120.00 degrees. Symmetry generates all atoms from In at (0.0000, 0.0000, 0.0000), Fe at (0.6667, 0.3333, 0.0000) and O at (0.3511, 0.1084, 0.2500).

The calculation puts the total energy at -5.8842 eV per atom. The calculation puts the magnetization at 4.946 μB/f.u.

Entry 4:
## InFeO (PBE with a Hubbard U)

Data for an optimized crystal structure of InFeO.

The space group is P4/mmm (No. 123) and the conventional cell measures 2.924, 2.924 and 7.064 Å, with angles of 90.00, 90.00 and 90.00 degrees. Symmetry generates all atoms from In at (0.000, 0.000, 0.000), Fe at (0.000, 0.000, 0.500) and O at (0.500, 0.500, 0.500).

The calculation puts the total energy at -5.0828 eV per atom. The calculation puts the magnetization at 4.025 μB/f.u.

Entry 5:
## In2FeO2 (PBE with a Hubbard U)

Data for an optimized crystal structure of In2FeO2.

The space group is I4/mmm (No. 139) and the conventional cell measures 5.077, 5.077 and 7.125 Å, with angles of 90.00, 90.00 and 90.00 degrees. Symmetry generates all atoms from In at (0.000, 0.500, 0.250), Fe at (0.000, 0.000, 0.000) and O at (0.000, 0.000, 0.261).

The calculation puts the total energy at -4.7608 eV per atom. The calculation puts the magnetization at 3.785 μB/f.u.

Entry 6:
## In3FeO (PBE with a Hubbard U)

Data for an optimized crystal structure of In3FeO.

The space group is Pm-3m (No. 221) and the conventional cell measures 4.723, 4.723 and 4.723 Å, with angles of 90.00, 90.00 and 90.00 degrees. Symmetry generates all atoms from In at (0.000, 0.000, 0.500), Fe at (0.500, 0.500, 0.500) and O at (0.000, 0.000, 0.000).

The calculation puts the total energy at -3.5254 eV per atom. The calculation puts the magnetization at 3.086 μB/f.u.

Entry 7:
## InFeO3 (PBE with a Hubbard U)

Data for an optimized crystal structure of InFeO3.

The space group is P6_3/mmc (No. 194) and the conventional cell measures 3.3982, 3.3982 and 12.3335 Å, with angles of 90.00, 90.00 and 120.00 degrees. Symmetry generates all atoms from In at (0.0000, 0.0000, 0.0000), Fe at (0.3333, 0.6667, 0.2500), O at (0.0000, 0.0000, 0.2500) and O at (0.3333, 0.6667, 0.0856).

The calculation puts the total energy at -6.1520 eV per atom. The calculation puts the magnetization at 4.994 μB/f.u.

Entry 8:
## In2FeO (PBE with a Hubbard U)

Data for an optimized crystal structure of In2FeO.

The space group is I-42d (No. 122) and the conventional cell measures 6.899, 6.899 and 6.608 Å, with angles of 90.00, 90.00 and 90.00 degrees. Symmetry generates all atoms from In at (0.185, 0.250, 0.125), Fe at (0.000, 0.000, 0.500) and O at (0.000, 0.000, 0.000).

The calculation puts the total energy at -4.0700 eV per atom. The calculation puts the magnetization at 3.762 μB/f.u.

Entry 9:
## InFeP2O (PBE with a Hubbard U)

Data for an optimized crystal structure of InFeP2O.

The space group is P4/mmm (No. 123) and the conventional cell measures 4.894, 4.894 and 3.606 Å, with angles of 90.00, 90.00 and 90.00 degrees. Symmetry generates all atoms from In at (0.000, 0.000, 0.000), Fe at (0.500, 0.500, 0.500), P at (0.000, 0.500, 0.500) and O at (0.500, 0.500, 0.000).

The calculation puts the total energy at -4.6513 eV per atom. The calculation puts the magnetization at 2.639 μB/f.u.

Entry 10:
## InFeP2O (PBE with a Hubbard U)

Data for an optimized crystal structure of InFeP2O.

The space group is P4/mmm (No. 123) and the conventional cell measures 5.151, 5.151 and 3.932 Å, with angles of 90.00, 90.00 and 90.00 degrees. Symmetry generates all atoms from In at (0.000, 0.000, 0.000), Fe at (0.500, 0.500, 0.500), P at (0.000, 0.500, 0.000) and O at (0.000, 0.000, 0.500).

The calculation puts the total energy at -3.9319 eV per atom. The calculation puts the magnetization at 3.266 μB/f.u.

Entry 11:
## InFePO2 (PBE with a Hubbard U)

Data for an optimized crystal structure of InFePO2.

The space group is P4/mmm (No. 123) and the conventional cell measures 4.052, 4.052 and 5.427 Å, with angles of 90.00, 90.00 and 90.00 degrees. Symmetry generates all atoms from In at (0.000, 0.000, 0.000), Fe at (0.500, 0.500, 0.500), P at (0.000, 0.000, 0.500) and O at (0.000, 0.500, 0.000).

The calculation puts the total energy at -4.5449 eV per atom. The calculation puts the magnetization at 5.469 μB/f.u.

Entry 12:
## InFePO2 (PBE with a Hubbard U)

Data for an optimized crystal structure of InFePO2.

The space group is P4/mmm (No. 123) and the conventional cell measures 3.816, 3.816 and 5.088 Å, with angles of 90.00, 90.00 and 90.00 degrees. Symmetry generates all atoms from In at (0.000, 0.000, 0.000), Fe at (0.500, 0.500, 0.500), P at (0.500, 0.500, 0.000) and O at (0.000, 0.500, 0.500).

The calculation puts the total energy at -5.1211 eV per atom. The calculation puts the magnetization at 4.293 μB/f.u.

Entry 13:
## PaInFeO6 (PBE with a Hubbard U)

Data for an optimized crystal structure of PaInFeO6.

The space group is P312 (No. 149) and the conventional cell measures 5.2308, 5.2308 and 4.7693 Å, with angles of 90.00, 90.00 and 120.00 degrees. Symmetry generates all atoms from Pa at (0.0000, 0.0000, 0.0000), In at (0.3333, 0.6667, 0.5000), Fe at (0.6667, 0.3333, 0.5000) and O at (0.3589, 0.0346, 0.7321).

The calculation puts the total energy at -7.2338 eV per atom. The calculation puts the magnetization at 2.000 μB/f.u.

Entry 14:
## PaInFe2O6 (PBE with a Hubbard U)

Data for an optimized crystal structure of PaInFe2O6.

The space group is P1 (No. 1) and the conventional cell measures 5.522, 5.531 and 5.832 Å, with angles of 62.65, 62.37 and 60.16 degrees. Symmetry generates all atoms from Pa at (0.000, 0.000, 0.000), In at (0.495, 0.500, 0.507), Fe at (0.208, 0.206, 0.378), Fe at (0.692, 0.711, 0.884), O at (0.096, 0.800, 0.705), O at (0.294, 0.598, 0.201), O at (0.394, 0.107, 0.691), O at (0.599, 0.898, 0.191), O at (0.785, 0.410, 0.713) and O at (0.910, 0.287, 0.211).

The calculation puts the total energy at -7.4964 eV per atom. The calculation puts the magnetization at 8.001 μB/f.u.

Entry 15:
## PaInFe2O8 (PBE with a Hubbard U)

Data for an optimized crystal structure of PaInFe2O8.

The space group is I-4m2 (No. 119) and the conventional cell measures 6.970, 6.970 and 6.644 Å, with angles of 90.00, 90.00 and 90.00 degrees. Symmetry generates all atoms from Pa at (0.000, 0.000, 0.000), In at (0.000, 0.500, 0.750), Fe at (0.000, 0.000, 0.500), Fe at (0.000, 0.500, 0.250), O at (0.000, 0.183, 0.692) and O at (0.000, 0.309, 0.053).

The calculation puts the total energy at -7.0084 eV per atom. The calculation puts the magnetization at 7.995 μB/f.u.

Entry 16:
## InFePdO4 (PBE with a Hubbard U)

Data for an optimized crystal structure of InFePdO4.

The space group is Imma (No. 74) and the conventional cell measures 6.012, 6.238 and 9.750 Å, with angles of 90.00, 90.00 and 90.00 degrees. Symmetry generates all atoms from In at (0.000, 0.000, 0.000), Fe at (0.000, 0.250, 0.346), Pd at (0.250, 0.250, 0.750), O at (0.000, 0.024, 0.763) and O at (0.240, 0.250, 0.046).

The calculation puts the total energy at -5.8184 eV per atom. The calculation puts the magnetization at 5.016 μB/f.u.

Entry 17:
## Pm2InFeO6 (PBE with a Hubbard U)

Data for an optimized crystal structure of Pm2InFeO6.

The space group is C2/m (No. 12) and the conventional cell measures 9.802, 5.559 and 5.617 Å, with angles of 90.00, 121.69 and 90.00 degrees. Symmetry generates all atoms from Pm at (0.244, 0.000, 0.219), In at (0.000, 0.000, 0.500), Fe at (0.000, 0.500, 0.000), O at (0.070, 0.259, 0.835) and O at (0.248, 0.500, 0.365).

The calculation puts the total energy at -7.1095 eV per atom. The calculation puts the magnetization at 2.980 μB/f.u.

Entry 18:
## PmInFe2O6 (PBE with a Hubbard U)

Data for an optimized crystal structure of PmInFe2O6.

The space group is R3 (No. 146, hexagonal axes) and the conventional cell measures 5.4235, 5.4235 and 13.6671 Å, with angles of 90.00, 90.00 and 120.00 degrees. Symmetry generates all atoms from Pm at (0.0000, 0.0000, 0.0000), In at (0.0000, 0.0000, 0.4801), Fe at (0.0000, 0.0000, 0.2612), Fe at (0.0000, 0.0000, 0.7659), O at (0.0098, 0.5893, 0.0246) and O at (0.0129, 0.3948, 0.5203).

The calculation puts the total energy at -6.6462 eV per atom. The calculation puts the magnetization at 6.025 μB/f.u.

Entry 19:
## PmIn4FeO8 (PBE with a Hubbard U)

Data for an optimized crystal structure of PmIn4FeO8.

The space group is R3m (No. 160, hexagonal axes) and the conventional cell measures 6.6475, 6.6475 and 16.0281 Å, with angles of 90.00, 90.00 and 120.00 degrees. Symmetry generates all atoms from Pm at (0.0000, 0.0000, 0.0000), In at (0.0000, 0.0000, 0.2446), In at (0.0011, 0.5006, 0.1224), Fe at (0.0000, 0.0000, 0.6226), O at (0.0000, 0.0000, 0.3816), O at (0.0000, 0.0000, 0.8596), O at (0.0367, 0.5183, 0.3765) and O at (0.1812, 0.3624, 0.2021).

The calculation puts the total energy at -6.1322 eV per atom. The calculation puts the magnetization at 3.960 μB/f.u.

Entry 20:
## Pr2InFeO6 (PBE with a Hubbard U)

Data for an optimized crystal structure of Pr2InFeO6.

The space group is C2/m (No. 12) and the conventional cell measures 10.005, 5.500 and 5.680 Å, with angles of 90.00, 120.81 and 90.00 degrees. Symmetry generates all atoms from Pr at (0.242, 0.000, 0.222), In at (0.000, 0.000, 0.500), Fe at (0.000, 0.500, 0.000), O at (0.067, 0.260, 0.834) and O at (0.243, 0.000, 0.633).

The calculation puts the total energy at -7.0863 eV per atom. The calculation puts the magnetization at 3.010 μB/f.u.

Entry 21:
## PuInFeO6 (PBE with a Hubbard U)

Data for an optimized crystal structure of PuInFeO6.

The space group is P-31c (No. 163) and the conventional cell measures 5.2126, 5.2126 and 9.4239 Å, with angles of 90.00, 90.00 and 120.00 degrees. Symmetry generates all atoms from Pu at (0.3333, 0.6667, 0.2500), In at (0.0000, 0.0000, 0.0000), Fe at (0.3333, 0.6667, 0.7500) and O at (0.0153, 0.3546, 0.6348).

The calculation puts the total energy at -7.5442 eV per atom. The calculation puts the magnetization at 1.000 μB/f.u.

Entry 22:
## PuIn2FeO8 (PBE with a Hubbard U)

Data for an optimized crystal structure of PuIn2FeO8.

The space group is P2/m (No. 10) and the conventional cell measures 4.924, 6.494 and 4.935 Å, with angles of 90.00, 92.78 and 90.00 degrees. Symmetry generates all atoms from Pu at (0.000, 0.000, 0.000), In at (0.500, 0.261, 0.500), Fe at (0.000, 0.500, 0.000), O at (0.182, 0.238, 0.820), O at (0.286, 0.500, 0.287) and O at (0.300, 0.000, 0.302).

The calculation puts the total energy at -7.1739 eV per atom. The calculation puts the magnetization at 5.979 μB/f.u.

Entry 23:
## PuInFe2O8 (PBE with a Hubbard U)

Data for an optimized crystal structure of PuInFe2O8.

The space group is I-4m2 (No. 119) and the conventional cell measures 6.793, 6.793 and 6.694 Å, with angles of 90.00, 90.00 and 90.00 degrees. Symmetry generates all atoms from Pu at (0.000, 0.000, 0.000), In at (0.000, 0.500, 0.750), Fe at (0.000, 0.000, 0.500), Fe at (0.000, 0.500, 0.250), O at (0.000, 0.181, 0.694) and O at (0.000, 0.302, 0.055).

The calculation puts the total energy at -7.1037 eV per atom. The calculation puts the magnetization at 8.986 μB/f.u.